[1]
Mg2NiP (GGA-PBE, relaxed); crystal system = monoclinic; final energy = -3.876 eV/atom; calculated volume = 65.72 Å³ per cell; size of the total moment = 0.0 Bohr magnetons per cell
1.0
5.510 -0.089 0.057
4.575 3.072 0.057
1.523 0.450 3.808
Ni P Mg
1 1 2
Direct
0.545 0.545 0.455
0.199 0.199 0.301
0.766 0.766 0.734
0.990 0.990 0.010


[2]
Mg2NiP (GGA-PBE, relaxed); crystal system = orthorhombic; final energy = -4.028 eV/atom; calculated volume = 65.76 Å³ per cell; size of the total moment = 0.0 Bohr magnetons per cell
1.0
-1.557 3.258 -0.389
-0.782 -0.811 -3.658
-4.553 -2.238 -0.526
Mg P Ni
2 1 1
Direct
0.500 0.273 0.328
0.000 0.978 0.919
0.500 0.559 0.756
0.000 0.689 0.497


[3]
MgNi2P (GGA-PBE, relaxed); crystal system = monoclinic; final energy = -4.700 eV/atom; calculated volume = 50.77 Å³ per cell; size of the total moment = 0.0 Bohr magnetons per cell
1.0
-0.686 4.313 2.050
-2.567 -0.564 -4.045
-2.594 0.038 0.770
Ni P Mg
2 1 1
Direct
0.000 0.000 0.000
0.500 0.500 0.000
0.500 0.000 0.500
0.000 0.500 0.500


[4]
MgNi2P (GGA-PBE, relaxed); crystal system = orthorhombic; final energy = -5.171 eV/atom; calculated volume = 104.83 Å³ per cell; size of the total moment = 0.0 Bohr magnetons per cell
1.0
-3.218 -0.360 -1.171
0.761 -3.037 3.903
-1.988 4.674 4.025
Mg Ni P
2 4 2
Direct
0.957 0.913 0.250
0.043 0.087 0.750
0.652 0.305 0.055
0.348 0.695 0.945
0.652 0.305 0.445
0.348 0.695 0.555
0.235 0.471 0.250
0.765 0.529 0.750


Number 1: formation energy from the elements -0.281 eV per atom. Number 2: formation energy from the elements -0.433 eV per atom. Number 3: formation energy from the elements -0.058 eV per atom. Number 4: formation energy from the elements -0.529 eV per atom.